# Na2SiAu2 | the Alexandria database | GGA-PBE | relaxed
# ΔE_f (raw) in kcal/mol of atoms: -6.437
# Fermi-level density of states in states/eV/f.u.: 1.1
# Spin magnetization in Bohr magnetons per cell: 0.000
# Space-group type: C2/c (15)
# ΔE to the lowest computed polymorph in meV per atom: 0
# VASP energy in eV per atom: -3.202
data_Na2SiAu2
_chemical_formula_sum 'Na4 Si2 Au4'
_cell_length_a 5.755
_cell_length_b 5.755
_cell_length_c 7.722
_cell_angle_alpha 81.20
_cell_angle_beta 81.20
_cell_angle_gamma 61.34
_space_group_name_H-M_alt 'P 1'
_space_group_IT_number 1
_space_group_name_Hall 'P 1'
loop_
_atom_site_label
_atom_site_type_symbol
_atom_site_fract_x
_atom_site_fract_y
_atom_site_fract_z
Na1 Na 0.535 0.769 0.845
Na2 Na 0.231 0.465 0.655
Na3 Na 0.465 0.231 0.155
Au1 Au 0.737 0.012 0.496
Au2 Au 0.988 0.263 0.004
Si1 Si 0.099 0.901 0.250
Si2 Si 0.901 0.099 0.750
Na4 Na 0.769 0.535 0.345
Au3 Au 0.263 0.988 0.504
Au4 Au 0.012 0.737 0.996